(1)
DFT (PBE-GGA) results for a relaxed structure of BeBiP2Os.

Structure (POSCAR):
```
BeBiP2Os
1.0
4.406 0.000 0.000
0.000 4.406 0.000
0.000 0.000 4.358
Be Bi P Os
1 1 2 1
Direct
0.000 0.000 0.000
0.500 0.500 0.500
0.000 0.500 0.000
0.500 0.000 0.000
0.000 0.000 0.500
```

Results
* V: 16.92 A^3/atom
* magnetization: 0.0000 μB per atom
* uncorrected energy: -5.038 eV/atom
* space group: P4/mmm (123)
* ΔE_f: 0.89 eV/atom
* N(E_F): 3.93 states/eV per cell


(2)
DFT (PBE-GGA) results for a relaxed structure of TaTc2P.

Structure (POSCAR):
```
TaTc2P
1.0
9.128 0.000 0.000
0.000 3.148 0.000
-2.519 0.000 4.211
Ta Tc P
2 4 2
Direct
0.000 0.000 0.000
0.500 0.500 0.000
0.200 0.000 0.739
0.411 0.000 0.401
0.700 0.500 0.739
0.911 0.500 0.401
0.213 0.500 0.403
0.713 0.000 0.403
```

Results
* V: 15.13 A^3/atom
* magnetization: 0.0000 μB per atom
* uncorrected energy: -9.809 eV/atom
* space group: Cm (8)
* ΔE_f: -0.31 eV/atom
* N(E_F): 6.69 states/eV per cell


(3)
DFT (PBE-GGA) results for a relaxed structure of CaMgZn2Pt.

Structure (POSCAR):
```
CaMgZn2Pt
1.0
4.900 0.000 0.000
0.000 4.900 0.000
0.000 0.000 4.923
Ca Mg Zn Pt
1 1 2 1
Direct
0.000 0.000 0.000
0.500 0.500 0.000
0.000 0.500 0.500
0.500 0.000 0.500
0.500 0.500 0.500
```

Results
* V: 23.64 A^3/atom
* magnetization: 0.0000 μB per atom
* uncorrected energy: -2.768 eV/atom
* space group: P4/mmm (123)
* ΔE_f: -0.33 eV/atom
* N(E_F): 2.62 states/eV per cell


(4)
DFT (PBE-GGA) results for a relaxed structure of YTl2P2Pd7.

Structure (POSCAR):
```
YTl2P2Pd7
1.0
2.890 -2.889 0.000
2.890 2.889 0.000
-1.921 0.000 13.641
Y Tl P Pd
1 2 2 7
Direct
0.000 0.000 0.000
0.104 0.104 0.390
0.896 0.896 0.610
0.419 0.419 0.754
0.581 0.581 0.246
0.053 0.553 0.158
0.389 0.389 0.585
0.447 0.947 0.842
0.500 0.500 0.000
0.553 0.053 0.158
0.611 0.611 0.415
0.947 0.447 0.842
```

Results
* V: 18.99 A^3/atom
* magnetization: 0.0000 μB per atom
* uncorrected energy: -5.338 eV/atom
* space group: C2/m (12)
* ΔE_f: -0.47 eV/atom
* N(E_F): 4.52 states/eV per cell


(5)
DFT (PBE-GGA) results for a relaxed structure of Cu3Ni2Pt3.

Structure (POSCAR):
```
Cu3Ni2Pt3
1.0
5.289 0.000 0.000
0.000 15.091 0.000
-2.563 0.000 2.647
Cu Ni Pt
6 4 6
Direct
0.000 0.000 0.000
0.000 0.370 0.500
0.000 0.630 0.500
0.500 0.130 0.500
0.500 0.500 0.000
0.500 0.870 0.500
0.000 0.250 0.000
0.000 0.750 0.000
0.500 0.250 0.000
0.500 0.750 0.000
0.000 0.132 0.500
0.000 0.500 0.000
0.000 0.868 0.500
0.500 0.000 0.000
0.500 0.368 0.500
0.500 0.632 0.500
```

Results
* polymorph energy (0 for the lowest one): 0 meV/atom
* V: 13.20 A^3/atom
* magnetization: 0.1864 μB per atom
* uncorrected energy: -5.338 eV/atom
* space group: C2/m (12)
* ΔE_f: -0.09 eV/atom
* N(E_F): 21.39 states/eV per cell


(6)
DFT (PBE-GGA) results for a relaxed structure of Hg3WC.

Structure (POSCAR):
```
Hg3WC
1.0
4.549 0.000 0.000
0.000 4.549 0.000
0.000 0.000 4.549
Hg W C
3 1 1
Direct
0.000 0.000 0.500
0.000 0.500 0.000
0.500 0.000 0.000
0.500 0.500 0.500
0.000 0.000 0.000
```

Results
* polymorph energy (0 for the lowest one): 0 meV/atom
* V: 18.83 A^3/atom
* magnetization: 0.0006 μB per atom
* uncorrected energy: -2.640 eV/atom
* space group: Pm-3m (221)
* ΔE_f: 1.98 eV/atom
* N(E_F): 5.62 states/eV per cell


(7)
DFT (PBE-GGA) results for a relaxed structure of TlCl3O.

Structure (POSCAR):
```
TlCl3O
1.0
5.277 0.000 0.000
0.000 5.277 0.000
0.000 0.000 5.277
Tl Cl O
1 3 1
Direct
0.000 0.000 0.000
0.000 0.000 0.500
0.000 0.500 0.000
0.500 0.000 0.000
0.500 0.500 0.500
```

Results
* polymorph energy (0 for the lowest one): 714 meV/atom
* V: 29.39 A^3/atom
* magnetization: 0.4333 μB per atom
* uncorrected energy: -2.332 eV/atom
* space group: Pm-3m (221)
* E_form (uncorrected): 116.3 kJ/mol of formula units
* N(E_F): 6.51 states/eV per cell


(8)
DFT (PBE-GGA) results for a relaxed structure of Ac3PrY2S6.

Structure (POSCAR):
```
Ac3PrY2S6
1.0
3.550 -6.163 0.000
3.550 6.163 0.000
-2.382 0.000 6.893
Ac Pr Y S
3 1 2 6
Direct
0.000 0.000 0.000
0.337 0.663 0.000
0.663 0.337 0.000
0.500 0.500 0.500
0.167 0.833 0.500
0.833 0.167 0.500
0.081 0.425 0.273
0.231 0.231 0.723
0.425 0.081 0.273
0.575 0.919 0.727
0.769 0.769 0.277
0.919 0.575 0.727
```

Results
* V: 25.13 A^3/atom
* magnetization: 0.0000 μB per atom
* uncorrected energy: -6.562 eV/atom
* space group: C2/m (12)
* E_form (uncorrected): -2311.0 kJ/mol of formula units
* N(E_F): 5.56 states/eV per cell


(9)
DFT (PBE-GGA) results for a relaxed structure of TcNi3Os.

Structure (POSCAR):
```
TcNi3Os
1.0
4.443 0.000 0.000
0.000 4.443 0.000
0.000 0.000 4.443
Tc Ni Os
1 3 1
Direct
0.000 0.000 0.000
0.000 0.500 0.500
0.500 0.000 0.500
0.500 0.500 0.000
0.500 0.500 0.500
```

Results
* polymorph energy (0 for the lowest one): 0 meV/atom
* V: 17.54 A^3/atom
* magnetization: 0.5711 μB per atom
* uncorrected energy: -6.117 eV/atom
* space group: Pm-3m (221)
* ΔE_f: 1.67 eV/atom
* N(E_F): 6.40 states/eV per cell


(10)
DFT (PBE-GGA) results for a relaxed structure of NaIr2N.

Structure (POSCAR):
```
NaIr2N
1.0
5.116 0.000 0.000
0.000 5.116 0.000
0.000 0.000 12.072
Na Ir N
4 8 4
Direct
0.000 0.250 0.375
0.000 0.750 0.625
0.500 0.250 0.125
0.500 0.750 0.875
0.000 0.000 0.000
0.000 0.500 0.000
0.250 0.250 0.750
0.250 0.750 0.250
0.500 0.000 0.500
0.500 0.500 0.500
0.750 0.250 0.750
0.750 0.750 0.250
0.000 0.250 0.875
0.000 0.750 0.125
0.500 0.250 0.625
0.500 0.750 0.375
```

Results
* polymorph energy (0 for the lowest one): 0 meV/atom
* V: 19.75 A^3/atom
* magnetization: 0.1188 μB per atom
* uncorrected energy: -6.212 eV/atom
* space group: I4_1/amd (141)
* E_form (uncorrected): 243.1 kJ/mol of formula units
* N(E_F): 17.63 states/eV per cell


(11)
DFT (PBE-GGA) results for a relaxed structure of Li4Pd2Au3.

Structure (POSCAR):
```
Li4Pd2Au3
1.0
4.262 -2.013 0.000
4.262 2.013 0.000
-2.149 0.000 8.001
Li Pd Au
4 2 3
Direct
0.004 0.004 0.331
0.332 0.332 0.108
0.668 0.668 0.892
0.996 0.996 0.669
0.337 0.337 0.785
0.663 0.663 0.215
0.000 0.000 0.000
0.333 0.333 0.430
0.667 0.667 0.570
```

Results
* polymorph energy (0 for the lowest one): 0 meV/atom
* V: 15.25 A^3/atom
* magnetization: 0.0000 μB per atom
* uncorrected energy: -3.571 eV/atom
* space group: C2/m (12)
* ΔE_f: -0.47 eV/atom
* N(E_F): 2.54 states/eV per cell


(12)
DFT (PBE-GGA) results for a relaxed structure of RbCd2GePd.

Structure (POSCAR):
```
RbCd2GePd
1.0
5.364 0.000 0.000
0.000 5.364 0.000
0.000 0.000 4.881
Rb Cd Ge Pd
1 2 1 1
Direct
0.000 0.000 0.000
0.000 0.500 0.500
0.500 0.000 0.500
0.500 0.500 0.000
0.500 0.500 0.500
```

Results
* V: 28.08 A^3/atom
* magnetization: 0.0000 μB per atom
* uncorrected energy: -2.623 eV/atom
* space group: P4/mmm (123)
* ΔE_f: -0.10 eV/atom
* N(E_F): 2.58 states/eV per cell


(13)
DFT (PBE-GGA) results for a relaxed structure of Er2Tc3Mo.

Structure (POSCAR):
```
Er2Tc3Mo
1.0
2.724 1.573 4.363
-2.724 1.573 4.363
0.000 -3.145 4.363
Er Tc Mo
2 3 1
Direct
0.125 0.125 0.125
0.875 0.875 0.875
0.000 0.500 0.500
0.500 0.000 0.500
0.500 0.500 0.000
0.500 0.500 0.500
```

Results
* V: 18.68 A^3/atom
* magnetization: 0.0000 μB per atom
* uncorrected energy: -8.662 eV/atom
* space group: R-3m (166)
* ΔE_f: -0.15 eV/atom
* N(E_F): 5.49 states/eV per cell


(14)
DFT (PBE-GGA) results for a relaxed structure of Li2InCu2.

Structure (POSCAR):
```
Li2InCu2
1.0
7.065 0.000 0.000
0.000 7.065 0.000
0.000 0.000 2.973
Li In Cu
4 2 4
Direct
0.129 0.371 0.000
0.371 0.871 0.000
0.629 0.129 0.000
0.871 0.629 0.000
0.000 0.000 0.000
0.500 0.500 0.000
0.164 0.664 0.500
0.336 0.164 0.500
0.664 0.836 0.500
0.836 0.336 0.500
```

Results
* polymorph energy (0 for the lowest one): 148 meV/atom
* V: 14.84 A^3/atom
* magnetization: 0.0000 μB per atom
* uncorrected energy: -2.934 eV/atom
* space group: P4/mbm (127)
* ΔE_f: 0.02 eV/atom
* N(E_F): 3.34 states/eV per cell


(15)
DFT (PBE-GGA) results for a relaxed structure of CdTeOsN2.

Structure (POSCAR):
```
CdTeOsN2
1.0
4.093 0.000 0.000
0.000 4.093 0.000
0.000 0.000 6.513
Cd Te Os N
1 1 1 2
Direct
0.000 0.000 0.000
0.000 0.000 0.500
0.500 0.500 0.500
0.000 0.500 0.000
0.500 0.000 0.000
```

Results
* polymorph energy (0 for the lowest one): 1844 meV/atom
* V: 21.82 A^3/atom
* magnetization: 1.1346 μB per atom
* uncorrected energy: -3.927 eV/atom
* space group: P4/mmm (123)
* E_form (uncorrected): 1186.9 kJ/mol of formula units
* N(E_F): 5.75 states/eV per cell


(16)
DFT (PBE-GGA) results for a relaxed structure of CuPbF6.

Structure (POSCAR):
```
CuPbF6
1.0
5.350 0.000 0.000
-2.673 4.640 0.000
-2.673 -1.541 4.796
Cu Pb F
1 1 6
Direct
0.000 0.000 0.000
0.000 0.500 0.500
0.121 0.882 0.758
0.125 0.761 0.242
0.481 0.363 0.242
0.519 0.637 0.758
0.875 0.239 0.758
0.879 0.118 0.242
```

Results
* V: 14.88 A^3/atom
* magnetization: 0.1249 μB per atom
* uncorrected energy: -4.147 eV/atom
* space group: P-1 (2)
* E_form (uncorrected): -1364.4 kJ/mol of formula units
* N(E_F): 2.54 states/eV per cell


(17)
DFT (PBE-GGA) results for a relaxed structure of KIn2Ni2.

Structure (POSCAR):
```
KIn2Ni2
1.0
4.606 0.000 0.000
0.000 4.606 0.000
0.000 0.000 10.350
K In Ni
2 4 4
Direct
0.000 0.000 0.000
0.500 0.500 0.500
0.000 0.500 0.250
0.000 0.500 0.750
0.500 0.000 0.250
0.500 0.000 0.750
0.000 0.000 0.385
0.000 0.000 0.615
0.500 0.500 0.115
0.500 0.500 0.885
```

Results
* polymorph energy (0 for the lowest one): 88 meV/atom
* V: 21.96 A^3/atom
* magnetization: 0.0000 μB per atom
* uncorrected energy: -3.497 eV/atom
* space group: I4/mmm (139)
* ΔE_f: 0.13 eV/atom
* N(E_F): 7.32 states/eV per cell


(18)
DFT (PBE-GGA) results for a relaxed structure of LaTi2Co2.

Structure (POSCAR):
```
LaTi2Co2
1.0
4.309 0.000 0.000
0.000 4.309 0.000
0.000 0.000 10.179
La Ti Co
2 4 4
Direct
0.000 0.000 0.000
0.500 0.500 0.500
0.000 0.000 0.345
0.000 0.000 0.655
0.500 0.500 0.155
0.500 0.500 0.845
0.000 0.500 0.250
0.000 0.500 0.750
0.500 0.000 0.250
0.500 0.000 0.750
```

Results
* polymorph energy (0 for the lowest one): 232 meV/atom
* V: 18.90 A^3/atom
* magnetization: 0.0000 μB per atom
* uncorrected energy: -6.992 eV/atom
* space group: I4/mmm (139)
* ΔE_f: -0.01 eV/atom
* N(E_F): 20.41 states/eV per cell


(19)
DFT (PBE-GGA) results for a relaxed structure of TmMgTi.

Structure (POSCAR):
```
TmMgTi
1.0
3.189 0.000 0.000
-1.595 2.762 0.000
0.000 0.000 7.881
Tm Mg Ti
1 1 1
Direct
0.000 0.000 0.000
0.667 0.333 0.372
0.333 0.667 0.690
```

Results
* polymorph energy (0 for the lowest one): 161 meV/atom
* V: 23.14 A^3/atom
* magnetization: 0.0000 μB per atom
* uncorrected energy: -4.481 eV/atom
* space group: P3m1 (156)
* ΔE_f: 0.17 eV/atom
* N(E_F): 3.63 states/eV per cell


(20)
DFT (PBE-GGA) results for a relaxed structure of CePmTm2.

Structure (POSCAR):
```
CePmTm2
1.0
3.544 0.000 0.000
0.000 3.544 0.000
0.000 0.000 9.842
Ce Pm Tm
1 1 2
Direct
0.000 0.000 0.000
0.000 0.000 0.500
0.500 0.500 0.242
0.500 0.500 0.758
```

Results
* polymorph energy (0 for the lowest one): 8 meV/atom
* V: 30.90 A^3/atom
* magnetization: 0.1630 μB per atom
* uncorrected energy: -4.848 eV/atom
* space group: P4/mmm (123)
* ΔE_f: 0.06 eV/atom
* N(E_F): 7.60 states/eV per cell


(21)
DFT (PBE-GGA) results for a relaxed structure of Fe3SnMo.

Structure (POSCAR):
```
Fe3SnMo
1.0
4.411 0.000 0.000
0.000 4.411 0.000
0.000 0.000 4.411
Fe Sn Mo
3 1 1
Direct
0.000 0.000 0.500
0.000 0.500 0.000
0.500 0.000 0.000
0.500 0.500 0.500
0.000 0.000 0.000
```

Results
* V: 17.17 A^3/atom
* magnetization: 0.0001 μB per atom
* uncorrected energy: -6.611 eV/atom
* space group: Pm-3m (221)
* ΔE_f: 1.43 eV/atom
* N(E_F): 9.02 states/eV per cell


(22)
DFT (PBE-GGA) results for a relaxed structure of ZrMnAu4.

Structure (POSCAR):
```
ZrMnAu4
1.0
0.000 3.863 3.863
3.863 0.000 3.863
3.863 3.863 0.000
Zr Mn Au
1 1 4
Direct
0.000 0.000 0.000
0.250 0.250 0.250
0.125 0.625 0.625
0.625 0.125 0.625
0.625 0.625 0.125
0.625 0.625 0.625
```

Results
* V: 19.21 A^3/atom
* magnetization: 0.6491 μB per atom
* uncorrected energy: -5.117 eV/atom
* space group: F-43m (216)
* ΔE_f: 0.02 eV/atom
* N(E_F): 7.32 states/eV per cell


(23)
DFT (PBE-GGA) results for a relaxed structure of NpGe2Pd.

Structure (POSCAR):
```
NpGe2Pd
1.0
3.178 0.000 0.000
0.000 3.178 0.000
0.000 0.000 7.262
Np Ge Pd
1 2 1
Direct
0.000 0.000 0.000
0.500 0.500 0.286
0.500 0.500 0.714
0.000 0.000 0.500
```

Results
* V: 18.34 A^3/atom
* magnetization: 1.1560 μB per atom
* uncorrected energy: -7.044 eV/atom
* space group: P4/mmm (123)
* ΔE_f: -0.20 eV/atom
* N(E_F): 4.62 states/eV per cell


(24)
DFT (PBE-GGA) results for a relaxed structure of Cs2CdHg4.

Structure (POSCAR):
```
Cs2CdHg4
1.0
5.786 0.000 0.000
0.000 5.786 0.000
0.000 0.000 19.037
Cs Cd Hg
4 2 8
Direct
0.000 0.000 0.137
0.000 0.000 0.863
0.500 0.500 0.363
0.500 0.500 0.637
0.000 0.000 0.500
0.500 0.500 0.000
0.000 0.000 0.342
0.000 0.000 0.658
0.000 0.500 0.000
0.000 0.500 0.500
0.500 0.000 0.000
0.500 0.000 0.500
0.500 0.500 0.158
0.500 0.500 0.842
```

Results
* polymorph energy (0 for the lowest one): 60 meV/atom
* V: 45.53 A^3/atom
* magnetization: 0.0000 μB per atom
* uncorrected energy: -0.689 eV/atom
* space group: I4/mmm (139)
* ΔE_f: -0.14 eV/atom
* N(E_F): 12.55 states/eV per cell


(25)
DFT (PBE-GGA) results for a relaxed structure of CeCd3Ag.

Structure (POSCAR):
```
CeCd3Ag
1.0
6.744 0.000 0.000
0.000 5.087 0.000
-0.009 0.000 6.885
Ce Cd Ag
2 6 2
Direct
0.241 0.250 0.249
0.759 0.750 0.751
0.240 0.750 0.549
0.244 0.750 0.951
0.449 0.250 0.748
0.551 0.750 0.252
0.756 0.250 0.049
0.760 0.250 0.451
0.048 0.250 0.752
0.952 0.750 0.248
```

Results
* polymorph energy (0 for the lowest one): 2 meV/atom
* V: 23.62 A^3/atom
* magnetization: 0.1731 μB per atom
* uncorrected energy: -2.468 eV/atom
* space group: P2_1/m (11)
* ΔE_f: -0.16 eV/atom
* N(E_F): 15.43 states/eV per cell


(26)
DFT (PBE-GGA) results for a relaxed structure of Cd3HRu.

Structure (POSCAR):
```
Cd3HRu
1.0
4.282 0.000 0.000
0.000 4.282 0.000
0.000 0.000 4.282
Cd H Ru
3 1 1
Direct
0.000 0.000 0.500
0.000 0.500 0.000
0.500 0.000 0.000
0.000 0.000 0.000
0.500 0.500 0.500
```

Results
* polymorph energy (0 for the lowest one): 0 meV/atom
* V: 15.70 A^3/atom
* magnetization: 0.1166 μB per atom
* uncorrected energy: -2.641 eV/atom
* space group: Pm-3m (221)
* N(E_F): 3.26 states/eV per cell


(27)
DFT (PBE-GGA) results for a relaxed structure of Cs2AlOs.

Structure (POSCAR):
```
Cs2AlOs
1.0
0.000 6.436 6.436
6.436 0.000 6.436
6.436 6.436 0.000
Cs Al Os
4 2 2
Direct
0.000 0.000 0.000
0.000 0.000 0.500
0.000 0.500 0.000
0.500 0.000 0.000
0.375 0.375 0.375
0.625 0.625 0.625
0.125 0.125 0.125
0.875 0.875 0.875
```

Results
* polymorph energy (0 for the lowest one): 437 meV/atom
* V: 66.64 A^3/atom
* magnetization: 0.0216 μB per atom
* uncorrected energy: -2.032 eV/atom
* space group: Fd-3m (227)
* ΔE_f: 2.14 eV/atom
* N(E_F): 10.89 states/eV per cell